(1)
Material: La3NdPb2
Method: DFT, PBE
State: relaxed

Cell and atoms, written as CIF:
```
data_La3NdPb2
_chemical_formula_sum 'La3 Nd1 Pb2'
_cell_length_a 5.518
_cell_length_b 3.439
_cell_length_c 9.695
_cell_angle_alpha 90.00
_cell_angle_beta 90.00
_cell_angle_gamma 90.00
_space_group_name_H-M_alt 'P 1'
_space_group_IT_number 1
loop_
_space_group_symop_operation_xyz
'x,y,z'
loop_
_atom_site_label
_atom_site_fract_x
_atom_site_fract_y
_atom_site_fract_z
_atom_site_occupancy
La1 0.000 0.500 0.842 1
Pb1 0.500 0.000 0.997 1
Nd1 0.500 0.500 0.662 1
La2 0.500 0.500 0.332 1
Pb2 0.000 0.000 0.503 1
La3 0.000 0.500 0.163 1
```

Calculated values
The calculation puts the spin magnetization at 0.000 μB per atom. The value obtained for the total energy is -28.09 eV per formula unit. As for the formation energy: -0.187 eV/atom. The calculation puts the energy above the lowest structure with this stoichiometry at 0.267 eV/atom.



(2)
Material: KCuCl
Method: DFT, PBE
State: relaxed

Cell and atoms, written as CIF:
```
data_KCuCl
_chemical_formula_sum 'K1 Cu1 Cl1'
_cell_length_a 4.625
_cell_length_b 4.625
_cell_length_c 4.361
_cell_angle_alpha 90.00
_cell_angle_beta 90.00
_cell_angle_gamma 120.00
_space_group_name_H-M_alt 'P 1'
_space_group_IT_number 1
loop_
_space_group_symop_operation_xyz
'x,y,z'
loop_
_atom_site_label
_atom_site_fract_x
_atom_site_fract_y
_atom_site_fract_z
_atom_site_occupancy
Cl1 0.000 0.000 0.167 1
Cu1 0.667 0.333 0.166 1
K1 0.333 0.667 0.667 1
```

Calculated values
The calculation puts the spin magnetization at 0.000 μB per atom. The value obtained for the total energy is -8.06 eV per formula unit. The calculation puts the energy above the lowest structure with this stoichiometry at 0.000 eV/atom. For the raw formation energy, the calculation gives -0.34 eV per atom.



Repeat the second record exactly.
Material: KCuCl
Method: DFT, PBE
State: relaxed

Cell and atoms, written as CIF:
```
data_KCuCl
_chemical_formula_sum 'K1 Cu1 Cl1'
_cell_length_a 4.625
_cell_length_b 4.625
_cell_length_c 4.361
_cell_angle_alpha 90.00
_cell_angle_beta 90.00
_cell_angle_gamma 120.00
_space_group_name_H-M_alt 'P 1'
_space_group_IT_number 1
loop_
_space_group_symop_operation_xyz
'x,y,z'
loop_
_atom_site_label
_atom_site_fract_x
_atom_site_fract_y
_atom_site_fract_z
_atom_site_occupancy
Cl1 0.000 0.000 0.167 1
Cu1 0.667 0.333 0.166 1
K1 0.333 0.667 0.667 1
```

Calculated values
The calculation puts the spin magnetization at 0.000 μB per atom. The value obtained for the total energy is -8.06 eV per formula unit. The calculation puts the energy above the lowest structure with this stoichiometry at 0.000 eV/atom. For the raw formation energy, the calculation gives -0.34 eV per atom.